Record 1
Entry from the Alexandria database: an optimized crystal structure of K2Tl2Sn (PBE-GGA).

Offset from the most stable computed form ... 0.318 eV/atom
Total moment ... 0.00 μB/f.u.
Total DFT energy (no corrections) ... -0.1481 Ry/atom
DOS at the Fermi energy ... 3.6 states/eV/cell

abc: 4.7757 4.7757 8.6314
angles: 73.94 73.94 90.00
Fractional coordinates of all 5 atoms:
K: 0.7500 0.2500 0.5000
K: 0.2500 0.7500 0.5000
Tl: 0.4089 0.4089 0.1821
Tl: 0.5911 0.5911 0.8179
Sn: 0.0000 0.0000 0.0000

Record 2
Entry from the Alexandria database: an optimized crystal structure of Ac6AsS5 (PBE-GGA).

Total moment ... 0.00 μB/f.u.
Total DFT energy (no corrections) ... -0.4480 Ry/atom
Energy relative to the elements, uncorrected ... -23.20 eV/f.u.
DOS at the Fermi energy ... 6.9 states/eV/cell

abc: 7.5334 7.5334 7.5352
angles: 99.55 99.55 120.03
Fractional coordinates of all 12 atoms:
S: 0.8358 0.1642 0.5000
S: 0.6673 0.3327 0.0000
S: 0.5000 0.5000 0.5000
S: 0.3327 0.6673 0.0000
S: 0.1642 0.8358 0.5000
Ac: 0.4203 0.0846 0.2527
Ac: 0.9154 0.5797 0.7473
Ac: 0.2526 0.2526 0.7485
Ac: 0.7474 0.7474 0.2515
Ac: 0.0846 0.4203 0.2527
Ac: 0.5797 0.9154 0.7473
As: 0.0000 0.0000 0.0000